Ho3AlPd3: relaxed, PBE.

Geometry as POSCAR:
```
Ho3AlPd3
1.0
2.029 -5.190 0.000
2.029 5.190 0.000
0.000 0.000 14.288
Ho Al Pd
6 2 6
Direct
0.014 0.986 0.750
0.291 0.709 0.604
0.291 0.709 0.896
0.709 0.291 0.104
0.709 0.291 0.396
0.986 0.014 0.250
0.000 0.000 0.000
0.000 0.000 0.500
0.263 0.737 0.250
0.422 0.578 0.091
0.422 0.578 0.409
0.578 0.422 0.591
0.578 0.422 0.909
0.737 0.263 0.750
```

Properties
The formation energy is -83.62 kJ/mol of atoms. The space group is Cmcm (63). The calculation puts the total energy at -5.589 eV per atom. The density of states at the Fermi level comes out at 9.3 states/eV per cell.